Computed, not measured: a relaxed NbZnSb2Te crystal at the PBE-GGA level of DFT.

Unit cell a=5.061 b=5.061 c=5.225 alpha=90.00 beta=90.00 gamma=90.00
Atoms (fractional coordinates):
Nb: 0.000 0.000 0.000
Zn: 0.500 0.500 0.500
Sb: 0.000 0.500 0.500
Sb: 0.500 0.000 0.500
Te: 0.500 0.500 0.000

Summary:
Energy relative to the elements, uncorrected, kJ/mol of formula units: 498
Offset from the most stable computed form, meV per atom: 670